# 1
ScZn3Rh4: relaxed, PBE.

Unit cell a=4.3469 b=4.3469 c=7.5073 alpha=73.17 beta=73.17 gamma=60.00
Element x y z (fractional)
Zn: 0.5000 0.5000 0.5000
Rh: 0.6223 0.6223 0.1330
Zn: 0.7495 0.7495 0.7515
Rh: 0.1275 0.1275 0.6176
Rh: 0.3777 0.3777 0.8670
Zn: 0.2505 0.2505 0.2485
Sc: 0.0000 0.0000 0.0000
Rh: 0.8725 0.8725 0.3824

DFT formation energy: -0.589 eV per atom
uncorrected energy: -44.27 eV for the cell shown

=====

# 2
Sc5ZnRh6: relaxed, PBE.

Unit cell a=4.5072 b=7.7997 c=7.7997 alpha=119.76 beta=106.74 gamma=106.74
Element x y z (fractional)
Rh: 0.2505 0.4168 0.0841
Sc: 0.5000 0.8424 0.1576
Sc: 0.5000 0.5000 0.5000
Sc: 0.5000 0.1576 0.8424
Rh: 0.7544 0.2544 0.2544
Sc: 0.0000 0.6696 0.3304
Zn: 0.0000 0.0000 0.0000
Rh: 0.7495 0.5832 0.9159
Rh: 0.2456 0.7456 0.7456
Sc: 0.0000 0.3304 0.6696
Rh: 0.7495 0.9159 0.5832
Rh: 0.2505 0.0841 0.4168

DFT formation energy: -0.954 eV per atom
uncorrected energy: -88.49 eV for the cell shown

=====

# 3
ScZn2Rh2: relaxed, PBE.

Unit cell a=7.1029 b=7.1029 c=3.0487 alpha=90.00 beta=90.00 gamma=90.00
Element x y z (fractional)
Rh: 0.3236 0.1764 0.5000
Sc: 0.0000 0.0000 0.0000
Zn: 0.8780 0.6220 0.0000
Zn: 0.6220 0.1220 0.0000
Rh: 0.8236 0.3236 0.5000
Zn: 0.1220 0.3780 0.0000
Rh: 0.6764 0.8236 0.5000
Rh: 0.1764 0.6764 0.5000
Zn: 0.3780 0.8780 0.0000
Sc: 0.5000 0.5000 0.0000

DFT formation energy: -0.565 eV per atom
ΔE to the lowest computed polymorph: 0 meV per atom
uncorrected energy: -52.82 eV for the cell shown

=====

# 4
Sc2Zn16Rh: relaxed, PBE.

Unit cell a=6.7019 b=6.7019 c=6.7019 alpha=82.62 beta=82.62 gamma=82.62
Element x y z (fractional)
Zn: 0.9973 0.2928 0.7040
Zn: 0.5013 0.9988 0.9988
Zn: 0.3604 0.3604 0.8307
Zn: 0.1490 0.6458 0.6458
Zn: 0.1042 0.1042 0.1042
Zn: 0.7040 0.9973 0.2928
Zn: 0.7040 0.2928 0.9973
Zn: 0.9973 0.7040 0.2928
Rh: 0.9000 0.9000 0.9000
Zn: 0.8307 0.3604 0.3604
Zn: 0.6458 0.6458 0.1490
Zn: 0.2928 0.9973 0.7040
Zn: 0.6458 0.1490 0.6458
Zn: 0.9988 0.5013 0.9988
Zn: 0.3604 0.8307 0.3604
Zn: 0.2928 0.7040 0.9973
Sc: 0.3369 0.3369 0.3369
Sc: 0.6797 0.6797 0.6797
Zn: 0.9988 0.9988 0.5013

DFT formation energy: -0.210 eV per atom
uncorrected energy: -44.38 eV for the cell shown

=====

# 5
Sc3Zn8Rh: relaxed, PBE.

Unit cell a=5.1323 b=5.1323 c=8.9494 alpha=73.34 beta=73.34 gamma=60.00
Element x y z (fractional)
Zn: 0.9377 0.4412 0.6834
Sc: 0.5031 0.5031 0.4906
Zn: 0.9361 0.4356 0.1928
Rh: 0.8803 0.8803 0.3591
Zn: 0.1878 0.1878 0.4366
Sc: 0.3785 0.3785 0.8644
Zn: 0.4356 0.9361 0.1928
Sc: 0.9897 0.9897 0.0309
Zn: 0.9377 0.9377 0.6834
Zn: 0.4356 0.4356 0.1928
Zn: 0.4412 0.9377 0.6834
Zn: 0.6867 0.6867 0.9398

DFT formation energy: -0.374 eV per atom
uncorrected energy: -41.02 eV for the cell shown

=====

# 6
Sc2ZnRh: relaxed, PBE.

Unit cell a=5.2425 b=5.2425 c=5.2425 alpha=135.19 beta=135.19 gamma=65.24
Element x y z (fractional)
Sc: 0.2500 0.7500 0.5000
Rh: 0.7500 0.2500 0.5000
Sc: 0.0000 0.0000 0.0000
Zn: 0.5000 0.5000 0.0000

DFT formation energy: -0.496 eV per atom
uncorrected energy: -23.27 eV for the cell shown

=====

# 7
Sc2ZnRh: relaxed, PBE.

Unit cell a=7.5010 b=7.5010 c=7.5010 alpha=38.71 beta=155.51 gamma=150.49
Element x y z (fractional)
Rh: 0.0000 0.5000 0.5000
Zn: 0.0000 0.0000 0.0000
Sc: 0.0000 0.6720 0.6720
Sc: 0.0000 0.3280 0.3280

DFT formation energy: -0.159 eV per atom
uncorrected energy: -21.93 eV for the cell shown

=====

# 8
ScZn2Rh2: relaxed, PBE.

Unit cell a=3.6268 b=3.6268 c=6.7856 alpha=74.50 beta=74.50 gamma=90.00
Element x y z (fractional)
Rh: 0.3950 0.3950 0.2101
Rh: 0.6050 0.6050 0.7899
Zn: 0.2500 0.7500 0.5000
Sc: 0.0000 0.0000 0.0000
Zn: 0.7500 0.2500 0.5000

DFT formation energy: -0.415 eV per atom
ΔE to the lowest computed polymorph: 150 meV per atom
uncorrected energy: -25.66 eV for the cell shown

=====

# 9
ScZnRh: relaxed, PBE.

Unit cell a=4.2731 b=4.2731 c=4.2731 alpha=60.00 beta=60.00 gamma=60.00
Element x y z (fractional)
Zn: 0.7500 0.7500 0.7500
Sc: 0.5000 0.5000 0.5000
Rh: 0.0000 0.0000 0.0000

DFT formation energy: -0.278 eV per atom
uncorrected energy: -15.79 eV for the cell shown

=====

# 10
ScZn2Rh: relaxed, PBE.

Unit cell a=3.2046 b=3.2046 c=6.2881 alpha=90.00 beta=90.00 gamma=90.00
Element x y z (fractional)
Rh: 0.0000 0.0000 0.4876
Zn: 0.5000 0.5000 0.2552
Sc: 0.5000 0.5000 0.7260
Zn: 0.0000 0.0000 0.0312

DFT formation energy: -0.483 eV per atom
uncorrected energy: -18.16 eV for the cell shown

=====

# 11
Sc8Zn2Rh: relaxed, PBE.

Unit cell a=4.8080 b=6.3884 c=8.3876 alpha=109.30 beta=106.66 gamma=90.00
Element x y z (fractional)
Sc: 0.0230 0.7822 0.0460
Sc: 0.1955 0.2960 0.3910
Sc: 0.3384 0.0375 0.6769
Sc: 0.5926 0.4402 0.1852
Sc: 0.4074 0.5598 0.8148
Zn: 0.8198 0.2980 0.6396
Sc: 0.6616 0.9625 0.3231
Rh: 0.5000 0.0000 0.0000
Zn: 0.1802 0.7020 0.3604
Sc: 0.8045 0.7040 0.6090
Sc: 0.9770 0.2178 0.9540

DFT formation energy: -0.310 eV per atom
ΔE to the lowest computed polymorph: 0 meV per atom
uncorrected energy: -63.97 eV for the cell shown

=====

# 12
Sc4Zn2Rh: relaxed, PBE.

Unit cell a=5.6747 b=5.6747 c=5.6747 alpha=109.43 beta=109.49 gamma=109.49
Element x y z (fractional)
Sc: 0.5000 0.5000 0.5000
Sc: 0.0000 0.5000 0.0000
Rh: 0.0000 0.0000 0.0000
Zn: 0.5000 0.5000 0.0000
Sc: 0.0000 0.0000 0.5000
Sc: 0.5000 0.0000 0.0000
Zn: 0.5000 0.0000 0.5000

DFT formation energy: -0.388 eV per atom
uncorrected energy: -37.94 eV for the cell shown